1.
NaTi2V | GGA-PBE | relaxed

Cell: 6.942 6.942 7.070 Å, 60.60 60.60 90.00°
Positions (direct):
1 Na 0.500 0.500 0.000
2 Na 0.250 0.750 0.500
3 V 0.000 0.000 0.000
4 V 0.750 0.250 0.500
5 Ti 0.875 0.125 0.250
6 Ti 0.875 0.625 0.250
7 Ti 0.375 0.125 0.750
8 Ti 0.875 0.125 0.750

Calculated total energy = -41.397 eV/cell
Density = 2.30 g/cm³
V = 30.65 Å³/atom
Crystal system = tetragonal

***

2.
Th2ZrSc | GGA-PBE | relaxed

Cell: 3.797 3.797 7.724 Å, 90.00 90.00 90.00°
Positions (direct):
1 Sc 0.500 0.500 0.000
2 Zr 0.500 0.500 0.500
3 Th 0.000 0.000 0.744
4 Th 0.000 0.000 0.256

Calculated total energy = -29.382 eV/cell
Density = 8.95 g/cm³
V = 27.84 Å³/atom
Crystal system = tetragonal

***

3.
K2PbAu | GGA-PBE | relaxed

Cell: 11.764 11.764 8.760 Å, 47.82 47.82 90.00°
Positions (direct):
1 Pb 0.000 0.000 0.000
2 Pb 0.750 0.250 0.500
3 K 0.482 0.125 0.250
4 K 0.268 0.625 0.250
5 K 0.375 0.518 0.750
6 K 0.875 0.732 0.750
7 Au 0.500 0.500 0.000
8 Au 0.250 0.750 0.500

Calculated total energy = -18.947 eV/cell
Density = 4.22 g/cm³
V = 47.51 Å³/atom
Crystal system = tetragonal

***

4.
RbCaCoCl6 | GGA-PBE | relaxed

Cell: 6.655 6.656 7.191 Å, 90.00 90.00 60.00°
Each line ends with the local moment (μB).
Positions (direct):
1 Rb 0.000 0.000 0.000  0.00
2 Ca 0.667 0.667 0.500  0.00
3 Co 0.333 0.333 0.500  -0.15
4 Cl 0.052 0.342 0.313  0.00
5 Cl 0.342 0.052 0.687  0.00
6 Cl 0.606 0.342 0.687  0.00
7 Cl 0.052 0.606 0.687  0.00
8 Cl 0.342 0.606 0.313  0.00
9 Cl 0.606 0.052 0.313  0.00

Calculated total energy = -34.348 eV/cell
Density = 2.39 g/cm³
V = 30.65 Å³/atom
Formation energy without anion corrections = -1.466 eV/atom
Crystal system = trigonal

***

5.
Li2Re | GGA-PBE | relaxed

Cell: 4.264 4.264 4.908 Å, 90.00 90.00 120.00°
Each line ends with the local moment (μB).
Positions (direct):
1 Li 0.000 0.000 0.000  -0.01
2 Li 0.000 0.000 0.500  -0.01
3 Li 0.333 0.667 0.250  0.00
4 Li 0.667 0.333 0.750  0.00
5 Re 0.667 0.333 0.250  0.62
6 Re 0.333 0.667 0.750  0.62

Calculated total energy = -26.076 eV/cell
Density = 8.60 g/cm³
V = 12.88 Å³/atom
Crystal system = hexagonal

***

6.
Sm4Dy3Sc | GGA-PBE | relaxed

Cell: 6.242 7.236 11.354 Å, 90.00 90.00 90.00°
Positions (direct):
1 Sm 0.154 0.871 0.000
2 Sm 0.640 0.128 0.000
3 Sm 0.985 0.130 0.244
4 Sm 0.485 0.870 0.256
5 Sm 0.140 0.872 0.500
6 Sm 0.654 0.129 0.500
7 Sm 0.485 0.870 0.744
8 Sm 0.985 0.130 0.756
9 Dy 0.648 0.622 0.000
10 Dy 0.978 0.620 0.249
11 Dy 0.478 0.380 0.251
12 Dy 0.148 0.378 0.500
13 Dy 0.478 0.380 0.749
14 Dy 0.978 0.620 0.751
15 Sc 0.146 0.381 0.000
16 Sc 0.646 0.619 0.500

Calculated total energy = -77.482 eV/cell
Density = 7.34 g/cm³
V = 32.05 Å³/atom
Crystal system = orthorhombic

***

7.
Co2WC | GGA-PBE | relaxed

Cell: 6.338 6.338 4.992 Å, 50.59 50.59 90.00°
Positions (direct):
1 C 0.500 0.500 0.000
2 C 0.250 0.750 0.500
3 Co 0.518 0.125 0.250
4 Co 0.232 0.625 0.250
5 Co 0.375 0.482 0.750
6 Co 0.875 0.768 0.750
7 W 0.000 0.000 0.000
8 W 0.750 0.250 0.500

Calculated total energy = -69.988 eV/cell
Density = 11.79 g/cm³
V = 11.04 Å³/atom
Crystal system = tetragonal

***

8.
KYSb2 | GGA-PBE | relaxed

Cell: 4.118 4.118 7.623 Å, 90.00 90.00 90.00°
Positions (direct):
1 K 0.500 0.500 0.750
2 Sb 0.000 0.000 0.055
3 Sb 0.000 0.000 0.445
4 Y 0.500 0.500 0.250

Calculated total energy = -18.433 eV/cell
Density = 4.77 g/cm³
V = 32.31 Å³/atom
Formation energy without anion corrections = -0.657 eV/atom
Crystal system = tetragonal

***

9.
Nb3TlPt | GGA-PBE | relaxed

Cell: 5.025 5.025 5.025 Å, 90.00 90.00 90.00°
Each line ends with the local moment (μB).
Positions (direct):
1 Tl 0.000 0.000 0.000  0.01
2 Nb 0.000 0.500 0.000  0.30
3 Nb 0.000 0.000 0.500  0.22
4 Nb 0.500 0.000 0.000  0.35
5 Pt 0.500 0.500 0.500  0.05

Calculated total energy = -27.814 eV/cell
Density = 8.87 g/cm³
V = 25.38 Å³/atom
Crystal system = cubic

***

10.
Li4CdBi3 | GGA-PBE | relaxed

Cell: 5.120 6.874 10.205 Å, 90.00 90.00 90.00°
Positions (direct):
1 Cd 0.000 0.500 0.000
2 Cd 0.000 0.500 0.500
3 Bi 0.000 0.000 0.000
4 Bi 0.000 0.000 0.500
5 Bi 0.520 0.000 0.750
6 Bi 0.480 0.000 0.250
7 Bi 0.518 0.500 0.750
8 Bi 0.482 0.500 0.250
9 Li 0.500 0.741 0.000
10 Li 0.500 0.741 0.500
11 Li 0.500 0.259 0.000
12 Li 0.500 0.259 0.500
13 Li 0.021 0.741 0.750
14 Li 0.979 0.741 0.250
15 Li 0.979 0.259 0.250
16 Li 0.021 0.259 0.750

Calculated total energy = -46.254 eV/cell
Density = 7.09 g/cm³
V = 22.45 Å³/atom
Crystal system = orthorhombic

***

11.
ZrRu2Pt | GGA-PBE | relaxed

Cell: 4.890 4.890 4.890 Å, 131.70 131.70 70.70°
Positions (direct):
1 Pt 0.750 0.250 0.500
2 Ru 0.000 0.000 0.000
3 Ru 0.250 0.750 0.500
4 Zr 0.500 0.500 0.000

Calculated total energy = -34.784 eV/cell
Density = 12.70 g/cm³
V = 15.97 Å³/atom
Crystal system = tetragonal

***

12.
Li2GaPt | GGA-PBE | relaxed

Cell: 4.290 4.290 4.290 Å, 60.00 60.00 60.00°
Positions (direct):
1 Ga 0.750 0.750 0.750
2 Pt 0.000 0.000 0.000
3 Li 0.500 0.500 0.500
4 Li 0.250 0.250 0.250

Calculated total energy = -15.592 eV/cell
Density = 8.29 g/cm³
V = 13.96 Å³/atom
Crystal system = cubic